DFT (GGA-PBE) results for a relaxed structure of ReSiAu.

Summary:
ΔE_f (raw): 280 meV/atom

a = 5.366 Å, b = 5.366 Å, c = 5.366 Å
α = 146.74°, β = 146.74°, γ = 47.75°
Positions (direct):
Re  0.000  0.000  0.000
Si  0.619  0.619  0.000
Au  0.298  0.298  0.000

DFT (GGA-PBE) results for a relaxed structure of Cs2Tl6InSn.

Summary:
ΔE_f: -30 meV/atom

a = 14.755 Å, b = 14.755 Å, c = 14.755 Å
α = 32.88°, β = 32.88°, γ = 32.88°
Positions (direct):
Cs  0.151  0.151  0.151
Cs  0.294  0.294  0.294
Cs  0.706  0.706  0.706
Cs  0.849  0.849  0.849
Tl  0.154  0.590  0.590
Tl  0.192  0.192  0.806
Tl  0.192  0.806  0.192
Tl  0.194  0.808  0.808
Tl  0.410  0.410  0.846
Tl  0.410  0.846  0.410
Tl  0.590  0.154  0.590
Tl  0.590  0.590  0.154
Tl  0.806  0.192  0.192
Tl  0.808  0.194  0.808
Tl  0.808  0.808  0.194
Tl  0.846  0.410  0.410
In  0.000  0.000  0.000
In  0.500  0.500  0.500
Sn  0.384  0.384  0.384
Sn  0.616  0.616  0.616

DFT (GGA-PBE) results for a relaxed structure of CsDyAgBr5.

Summary:
ΔE_f (raw): -1486 meV/atom

a = 8.141 Å, b = 8.141 Å, c = 10.800 Å
α = 102.09°, β = 102.09°, γ = 108.40°
Positions (direct):
Cs  0.157  0.843  0.750
Cs  0.843  0.157  0.250
Dy  0.500  0.500  0.000
Dy  0.500  0.500  0.500
Ag  0.189  0.811  0.250
Ag  0.811  0.189  0.750
Br  0.137  0.263  0.934
Br  0.206  0.600  0.413
Br  0.263  0.137  0.434
Br  0.400  0.794  0.087
Br  0.437  0.563  0.750
Br  0.563  0.437  0.250
Br  0.600  0.206  0.913
Br  0.737  0.863  0.566
Br  0.794  0.400  0.587
Br  0.863  0.737  0.066

DFT (GGA-PBE) results for a relaxed structure of TiAs2.

Summary:
ΔE_f: -528 meV/atom

a = 4.883 Å, b = 4.883 Å, c = 4.883 Å
α = 139.05°, β = 139.05°, γ = 59.30°
Positions (direct):
Ti  0.000  0.000  0.000
As  0.342  0.342  0.000
As  0.658  0.658  0.000

DFT (GGA-PBE) results for a relaxed structure of Li2TaSb.

Summary:
ΔE_f (raw): 122 meV/atom

a = 5.124 Å, b = 5.124 Å, c = 5.124 Å
α = 133.67°, β = 133.67°, γ = 67.60°
Positions (direct):
Li  0.000  0.000  0.000
Li  0.750  0.250  0.500
Ta  0.500  0.500  0.000
Sb  0.250  0.750  0.500

DFT (GGA-PBE) results for a relaxed structure of Mg5In4Ag4.

Summary:
ΔE_f: -83 meV/atom

a = 8.147 Å, b = 8.147 Å, c = 8.147 Å
α = 94.63°, β = 94.63°, γ = 147.00°
Positions (direct):
Mg  0.000  0.000  0.000
Mg  0.314  0.413  0.727
Mg  0.413  0.686  0.099
Mg  0.587  0.314  0.901
Mg  0.686  0.587  0.273
In  0.117  0.624  0.742
In  0.376  0.117  0.493
In  0.624  0.883  0.507
In  0.883  0.376  0.258
Ag  0.103  0.228  0.331
Ag  0.228  0.897  0.126
Ag  0.772  0.103  0.874
Ag  0.897  0.772  0.669

DFT (GGA-PBE) results for a relaxed structure of TbPm2Pd3.

Summary:
ΔE_f: -701 meV/atom

a = 7.188 Å, b = 7.188 Å, c = 8.308 Å
α = 106.81°, β = 106.81°, γ = 48.26°
Positions (direct):
Tb  0.009  0.991  0.750
Tb  0.991  0.009  0.250
Pm  0.327  0.338  0.916
Pm  0.338  0.327  0.416
Pm  0.662  0.673  0.584
Pm  0.673  0.662  0.084
Pd  0.157  0.167  0.581
Pd  0.167  0.157  0.081
Pd  0.491  0.509  0.250
Pd  0.509  0.491  0.750
Pd  0.833  0.843  0.919
Pd  0.843  0.833  0.419

DFT (GGA-PBE) results for a relaxed structure of Ba2TlAs.

Summary:
ΔE_f: -580 meV/atom

a = 6.153 Å, b = 6.153 Å, c = 6.153 Å
α = 127.92°, β = 127.92°, γ = 76.75°
Positions (direct):
Ba  0.250  0.750  0.500
Ba  0.750  0.250  0.500
Tl  0.000  0.000  0.000
As  0.500  0.500  0.000

Result set for density: 14.76; 6.80; 4.20; 6.63; 7.60; 5.95; 8.40; 6.54 g/cm³, one per record in the order listed.